No. 1
Rb4AuI2 (PBE, relaxed); raw total energy = -16.46 eV per cell; Fermi-level density of states = 2.2 states/eV per cell; size of the total moment = 0.0000 μB/atom; SG = C2/m; calculated density = 3.34 Mg/m³
1.0
9.804 -2.502 0.000
9.804 2.502 0.000
-3.938 0.000 8.035
Rb Au I
4 1 2
direct
0.119 0.119 0.441
0.378 0.378 0.035
0.622 0.622 0.965
0.881 0.881 0.559
0.000 0.000 0.000
0.257 0.257 0.258
0.743 0.743 0.742


No. 2
Ac4GeBi2Br (PBE, relaxed); raw total energy = -38.78 eV per cell; Fermi-level density of states = 2.2 states/eV per cell; size of the total moment = 0.0000 μB/atom; SG = P2/m; calculated density = 8.16 Mg/m³
1.0
8.178 0.000 0.000
0.000 4.759 0.000
-2.713 0.000 7.728
Ac Ge Bi Br
4 1 2 1
direct
0.235 0.000 0.234
0.244 0.500 0.764
0.756 0.500 0.236
0.765 0.000 0.766
0.000 0.500 0.000
0.500 0.000 0.000
0.500 0.500 0.500
0.000 0.000 0.500


No. 3
CsSi2GeS8 (PBE, relaxed); raw total energy = -52.64 eV per cell; Fermi-level density of states = 9.2 states/eV per cell; size of the total moment = 0.2556 μB/atom; SG = P-3; calculated density = 2.76 Mg/m³
1.0
6.042 0.000 0.000
-3.021 5.232 0.000
0.000 0.000 9.868
Cs Si Ge S
1 2 1 8
direct
0.000 0.000 0.000
0.333 0.667 0.700
0.667 0.333 0.300
0.000 0.000 0.500
0.011 0.677 0.355
0.323 0.334 0.355
0.333 0.667 0.913
0.334 0.011 0.645
0.666 0.989 0.355
0.667 0.333 0.087
0.677 0.666 0.645
0.989 0.323 0.645